The following is a DFT calculation (PBE-GGA) of crystalline Sm3Er5Tm4 at its relaxed geometry.

Values from the calculation:
Polymorph energy (0 for the lowest one): 0.229 eV/atom
Energy: -4.3208 eV/atom
Space-group type: C2/m

Cell lengths 5.840, 8.443, 9.571 Å; angles 105.89, 72.24, 69.77 degrees
Atoms (fractional coordinates):
Sm1 0.000 0.500 0.500
Sm2 0.522 0.686 0.270
Sm3 0.478 0.314 0.730
Tm1 0.860 0.221 0.059
Tm2 0.833 0.957 0.376
Tm3 0.167 0.043 0.624
Tm4 0.140 0.779 0.941
Er1 0.785 0.542 0.888
Er2 0.623 0.951 0.804
Er3 0.377 0.049 0.196
Er4 0.500 0.500 0.500
Er5 0.215 0.458 0.112

---

The following is a DFT calculation (PBE-GGA) of crystalline Sm6Er2Tm5 at its relaxed geometry.

Values from the calculation:
Energy: -4.4954 eV/atom
Space-group type: Pbam

Cell lengths 3.586, 11.597, 20.263 Å; angles 90.00, 90.00, 90.00 degrees
Atoms (fractional coordinates):
Sm1 0.500 0.329 0.134
Sm2 0.000 0.560 0.420
Sm3 0.000 0.940 0.920
Sm4 0.500 0.829 0.366
Sm5 0.500 0.171 0.634
Sm6 0.500 0.671 0.866
Sm7 0.000 0.084 0.367
Sm8 0.000 0.060 0.080
Sm9 0.000 0.584 0.133
Sm10 0.000 0.440 0.580
Sm11 0.000 0.416 0.867
Sm12 0.000 0.916 0.633
Er1 0.000 0.164 0.790
Er2 0.000 0.836 0.210
Er3 0.000 0.664 0.710
Er4 0.000 0.336 0.290
Tm1 0.500 0.406 0.726
Tm2 0.500 0.094 0.226
Tm3 0.500 0.500 0.000
Tm4 0.500 0.302 0.445
Tm5 0.500 0.594 0.274
Tm6 0.500 0.698 0.555
Tm7 0.500 0.000 0.500
Tm8 0.500 0.802 0.055
Tm9 0.500 0.906 0.774
Tm10 0.500 0.198 0.945

---

The following is a DFT calculation (PBE-GGA) of crystalline SmEr2Tm6 at its relaxed geometry.

Values from the calculation:
Polymorph energy (0 for the lowest one): 0.000 eV/atom
Energy: -4.4236 eV/atom
Space-group type: C2/m

Cell lengths 6.017, 6.017, 14.322 Å; angles 77.49, 77.49, 33.56 degrees
Atoms (fractional coordinates):
Er1 0.107 0.107 0.276
Er2 0.893 0.893 0.724
Tm1 0.378 0.378 0.945
Tm2 0.137 0.137 0.845
Tm3 0.199 0.199 0.605
Tm4 0.863 0.863 0.155
Tm5 0.622 0.622 0.055
Tm6 0.801 0.801 0.395
Sm1 0.500 0.500 0.500

---

The following is a DFT calculation (PBE-GGA) of crystalline Sm4Er4Tm at its relaxed geometry.

Values from the calculation:
Polymorph energy (0 for the lowest one): 0.089 eV/atom
Energy: -4.5127 eV/atom
Space-group type: C2/m

Cell lengths 5.550, 8.818, 8.891 Å; angles 45.01, 71.82, 71.66 degrees
Atoms (fractional coordinates):
Sm1 0.280 0.153 0.287
Sm2 0.133 0.694 0.040
Sm3 0.720 0.847 0.713
Sm4 0.867 0.306 0.960
Er1 0.624 0.428 0.323
Er2 0.376 0.572 0.677
Er3 0.072 0.232 0.625
Er4 0.928 0.768 0.375
Tm1 0.500 0.000 0.000

---

The following is a DFT calculation (PBE-GGA) of crystalline Sm3ErTm7 at its relaxed geometry.

Values from the calculation:
Polymorph energy (0 for the lowest one): 0.024 eV/atom
Energy: -4.3632 eV/atom
Space-group type: P3m1

Cell lengths 8.566, 6.983, 6.983 Å; angles 120.00, 90.00, 90.00 degrees
Atoms (fractional coordinates):
Tm1 0.445 0.335 0.168
Tm2 0.445 0.832 0.665
Tm3 0.121 0.167 0.335
Tm4 0.445 0.832 0.168
Tm5 0.121 0.667 0.333
Tm6 0.121 0.167 0.833
Tm7 0.121 0.665 0.833
Sm1 0.783 0.500 0.500
Sm2 0.783 0.000 0.500
Sm3 0.783 0.500 0.000
Er1 0.445 0.333 0.667

---

The following is a DFT calculation (PBE-GGA) of crystalline Sm3ErTm at its relaxed geometry.

Values from the calculation:
Polymorph energy (0 for the lowest one): 0.000 eV/atom
Energy: -4.6212 eV/atom
Space-group type: P-1

Cell lengths 9.633, 6.771, 6.299 Å; angles 117.72, 109.12, 95.80 degrees
Atoms (fractional coordinates):
Er1 0.651 0.949 0.284
Er2 0.349 0.451 0.716
Tm1 0.150 0.448 0.115
Tm2 0.850 0.952 0.886
Sm1 0.550 0.451 0.317
Sm2 0.050 0.949 0.483
Sm3 0.950 0.451 0.517
Sm4 0.750 0.450 0.917
Sm5 0.250 0.950 0.083
Sm6 0.450 0.949 0.683

---

The following is a DFT calculation (PBE-GGA) of crystalline Sm5Er2Tm4 at its relaxed geometry.

Values from the calculation:
Polymorph energy (0 for the lowest one): 0.072 eV/atom
Energy: -4.3952 eV/atom
Space-group type: Immm

Cell lengths 3.496, 9.000, 12.631 Å; angles 110.87, 97.95, 90.00 degrees
Atoms (fractional coordinates):
Sm1 0.855 0.654 0.710
Sm2 0.500 0.000 0.000
Sm3 0.145 0.346 0.290
Sm4 0.145 0.945 0.290
Sm5 0.855 0.055 0.710
Tm1 0.403 0.403 0.807
Tm2 0.000 0.685 0.000
Tm3 0.597 0.597 0.193
Tm4 0.000 0.315 0.000
Er1 0.731 0.731 0.461
Er2 0.269 0.269 0.539

---

The following is a DFT calculation (PBE-GGA) of crystalline Sm6Er12Tm at its relaxed geometry.

Values from the calculation:
Polymorph energy (0 for the lowest one): 0.000 eV/atom
Energy: -4.4829 eV/atom
Space-group type: R-3m

Cell lengths 8.598, 8.598, 8.598 Å; angles 79.62, 79.62, 79.62 degrees
Atoms (fractional coordinates):
Er1 0.136 0.136 0.487
Er2 0.486 0.486 0.805
Er3 0.805 0.486 0.486
Er4 0.486 0.805 0.486
Er5 0.136 0.487 0.136
Er6 0.514 0.514 0.195
Er7 0.487 0.136 0.136
Er8 0.195 0.514 0.514
Er9 0.514 0.195 0.514
Er10 0.864 0.513 0.864
Er11 0.864 0.864 0.513
Er12 0.513 0.864 0.864
Tm1 0.000 0.000 0.000
Sm1 0.162 0.768 0.768
Sm2 0.232 0.838 0.232
Sm3 0.232 0.232 0.838
Sm4 0.768 0.768 0.162
Sm5 0.768 0.162 0.768
Sm6 0.838 0.232 0.232

---

The following is a DFT calculation (PBE-GGA) of crystalline Sm2ErTm at its relaxed geometry.

Values from the calculation:
Polymorph energy (0 for the lowest one): 0.099 eV/atom
Energy: -4.5040 eV/atom
Space-group type: Fm-3m

Cell lengths 5.677, 5.677, 5.677 Å; angles 60.00, 60.00, 60.00 degrees
Atoms (fractional coordinates):
Er1 0.000 0.000 0.000
Sm1 0.750 0.750 0.750
Sm2 0.250 0.250 0.250
Tm1 0.500 0.500 0.500

---

The following is a DFT calculation (PBE-GGA) of crystalline Sm9ErTm2 at its relaxed geometry.

Values from the calculation:
Energy: -4.6466 eV/atom
Space-group type: P4/mmm

Cell lengths 5.081, 5.081, 15.245 Å; angles 90.00, 90.00, 90.00 degrees
Atoms (fractional coordinates):
Sm1 0.500 0.000 0.500
Sm2 0.500 0.000 0.833
Sm3 0.500 0.500 0.666
Sm4 0.000 0.500 0.833
Sm5 0.500 0.000 0.167
Sm6 0.000 0.500 0.167
Sm7 0.500 0.500 0.000
Sm8 0.500 0.500 0.334
Sm9 0.000 0.500 0.500
Tm1 0.000 0.000 0.667
Tm2 0.000 0.000 0.333
Er1 0.000 0.000 0.000

---

The following is a DFT calculation (PBE-GGA) of crystalline Sm5Er3Tm3 at its relaxed geometry.

Values from the calculation:
Polymorph energy (0 for the lowest one): 0.000 eV/atom
Energy: -4.2772 eV/atom
Space-group type: P-62m

Cell lengths 3.425, 11.147, 11.147 Å; angles 120.00, 90.00, 90.00 degrees
Atoms (fractional coordinates):
Tm1 0.500 0.159 0.159
Tm2 0.500 0.841 0.000
Tm3 0.500 0.000 0.841
Sm1 0.500 0.667 0.333
Sm2 0.500 0.661 0.661
Sm3 0.500 0.333 0.667
Sm4 0.500 0.339 0.000
Sm5 0.500 0.000 0.339
Er1 0.000 0.595 0.000
Er2 0.000 0.000 0.595
Er3 0.000 0.405 0.405

---

The following is a DFT calculation (PBE-GGA) of crystalline Sm2Er3Tm6 at its relaxed geometry.

Values from the calculation:
Polymorph energy (0 for the lowest one): 0.089 eV/atom
Energy: -4.2605 eV/atom
Space-group type: I4/mmm

Cell lengths 4.680, 4.680, 16.731 Å; angles 98.04, 98.04, 90.00 degrees
Atoms (fractional coordinates):
Tm1 0.622 0.122 0.245
Tm2 0.878 0.378 0.755
Tm3 0.378 0.878 0.755
Tm4 0.695 0.695 0.390
Tm5 0.122 0.622 0.245
Tm6 0.305 0.305 0.610
Er1 0.201 0.201 0.403
Er2 0.000 0.000 0.000
Er3 0.799 0.799 0.597
Sm1 0.546 0.546 0.092
Sm2 0.454 0.454 0.908

---

no.,Fermi-level density of states (states/eV/f.u.),formation energy (meV per atom),total magnetic moment (μB per cell)
1,19.227,251,0.29
2,15.473,104,0.00
3,14.325,96,0.00
4,15.239,109,0.00
5,16.771,184,0.00
6,8.546,17,0.00
7,17.677,206,0.00
8,28.285,125,0.01
9,7.561,114,0.00
10,18.328,18,0.00
11,16.477,332,0.00
12,16.940,281,0.00